PBE BeRePb2, optimized geometry; formation enthalpy at 0 K = 671 meV per atom; DOS at the Fermi energy = 0.711 states/eV/atom
1.0
-1.633 8.130 1.045
-2.538 6.810 4.129
0.790 7.563 3.470
Pb Be Re
2 1 1
direct
0.030 0.030 0.030 Pb
0.231 0.231 0.231 Pb
0.763 0.763 0.763 Be
0.475 0.475 0.475 Re